An optimized crystal structure of BaTlPdBr2. Source: Alexandria, functional PBE.

a b c (Å): 5.5089 5.3032 5.5089
angles (deg): 90.00 90.00 90.00
Last column: nearest neighbours and their distance in Å.
Fractional coordinates of all 5 atoms:
1 Pd 0.0000 0.0000 0.0000  2 Tl 2.65, 4 Br 2.75
2 Br 0.5000 0.0000 0.0000  2 Pd 2.75
3 Br 0.0000 0.0000 0.5000  2 Pd 2.75
4 Tl 0.0000 0.5000 0.0000  2 Pd 2.65
5 Ba 0.5000 0.5000 0.5000  8 Br 3.82, 4 Tl 3.90

**E**: -16.402 eV per cell
**D(E_F)**: 0.50 states/eV per atom
**Magnetization**: 0.0 μB per cell
**ΔE_f (raw)**: -715 meV/atom

---

An optimized crystal structure of BaTl2PdBr. Source: Alexandria, functional PBE.

a b c (Å): 5.2855 5.2855 6.3779
angles (deg): 90.00 90.00 90.00
Last column: nearest neighbours and their distance in Å.
Fractional coordinates of all 5 atoms:
1 Tl 0.5000 0.0000 0.0000  2 Pd 2.64
2 Ba 0.0000 0.0000 0.5000  2 Pd 3.19
3 Br 0.5000 0.5000 0.5000  4 Ba 3.74, 8 Tl 4.14
4 Tl 0.0000 0.5000 0.0000  2 Pd 2.64
5 Pd 0.0000 0.0000 0.0000  4 Tl 2.64

**E**: -16.829 eV per cell
**D(E_F)**: 0.60 states/eV per atom
**Magnetization**: 0.0 μB per cell
**ΔE_f (raw)**: -662 meV/atom